Record 1
! PBE Hg2W, optimized geometry; values from VASP
&SYSTEM
  ibrav = 0, nat = 6, ntyp = 2
/
ATOMIC_SPECIES
Hg 200.59 Hg.upf
W 183.84 W.upf
ATOMIC_POSITIONS crystal
Hg 0.998 0.002 0.000
Hg 0.307 0.693 0.000
Hg 0.647 0.353 0.000
Hg 0.424 0.576 0.500
W 0.780 0.220 0.500
W 0.178 0.822 0.500
CELL_PARAMETERS angstrom
1.502 -9.485 0.000
1.502 9.485 0.000
0.000 0.000 4.944
! Size of the total moment, μB/f.u.: 0.00
! Space-group type: Amm2

***

Record 2
! PBE HgW3, optimized geometry; values from VASP
&SYSTEM
  ibrav = 0, nat = 4, ntyp = 2
/
ATOMIC_SPECIES
Hg 200.59 Hg.upf
W 183.84 W.upf
ATOMIC_POSITIONS crystal
Hg 0.000 0.000 0.000
W 0.000 0.000 0.500
W 0.333 0.667 0.259
W 0.333 0.667 0.741
CELL_PARAMETERS angstrom
2.843 0.000 0.000
-1.422 2.462 0.000
0.000 0.000 9.944
! Size of the total moment, μB/f.u.: 0.00
! Space-group type: P-6m2

***

Record 3
! PBE HgW2, optimized geometry; values from VASP
&SYSTEM
  ibrav = 0, nat = 6, ntyp = 2
/
ATOMIC_SPECIES
Hg 200.59 Hg.upf
W 183.84 W.upf
ATOMIC_POSITIONS crystal
Hg 0.921 0.079 0.750
Hg 0.079 0.921 0.250
W 0.617 0.383 0.750
W 0.383 0.617 0.250
W 0.251 0.749 0.750
W 0.749 0.251 0.250
CELL_PARAMETERS angstrom
-2.517 5.724 0.980
1.187 -5.427 3.033
3.883 1.506 1.176
! Size of the total moment, μB/f.u.: 0.00
! Space-group type: Cmcm

***

Record 4
! PBE Hg2W, optimized geometry; values from VASP
&SYSTEM
  ibrav = 0, nat = 6, ntyp = 2
/
ATOMIC_SPECIES
Hg 200.59 Hg.upf
W 183.84 W.upf
ATOMIC_POSITIONS crystal
Hg 0.000 0.263 0.262
Hg 0.500 0.763 0.238
Hg 0.500 0.237 0.762
Hg 0.000 0.737 0.738
W 0.000 0.000 0.000
W 0.500 0.500 0.500
CELL_PARAMETERS angstrom
-1.339 0.852 -2.214
-6.393 -2.955 2.729
-1.544 6.521 3.445
! Size of the total moment, μB/f.u.: 0.00
! Space-group type: Pnnm

***

Record 5
! PBE Hg2W, optimized geometry; values from VASP
&SYSTEM
  ibrav = 0, nat = 6, ntyp = 2
/
ATOMIC_SPECIES
Hg 200.59 Hg.upf
W 183.84 W.upf
ATOMIC_POSITIONS crystal
Hg 0.797 0.203 0.750
Hg 0.897 0.103 0.250
Hg 0.103 0.897 0.750
Hg 0.203 0.797 0.250
W 0.459 0.541 0.750
W 0.541 0.459 0.250
CELL_PARAMETERS angstrom
-2.340 7.139 -4.819
0.711 -5.746 6.793
3.832 2.296 1.541
! Size of the total moment, μB/f.u.: 0.00
! Space-group type: Cmcm

***

Record 6
! PBE HgW3, optimized geometry; values from VASP
&SYSTEM
  ibrav = 0, nat = 4, ntyp = 2
/
ATOMIC_SPECIES
Hg 200.59 Hg.upf
W 183.84 W.upf
ATOMIC_POSITIONS crystal
Hg 0.000 0.000 0.000
W 0.000 0.000 0.500
W 0.500 0.500 0.257
W 0.500 0.500 0.743
CELL_PARAMETERS angstrom
-1.394 0.197 -2.353
-2.088 -1.380 1.121
-3.706 7.934 2.862
! Size of the total moment, μB/f.u.: 0.00
! Space-group type: P4/mmm

***

Record 7
! PBE Hg2W, optimized geometry; values from VASP
&SYSTEM
  ibrav = 0, nat = 6, ntyp = 2
/
ATOMIC_SPECIES
Hg 200.59 Hg.upf
W 183.84 W.upf
ATOMIC_POSITIONS crystal
Hg 0.993 0.993 0.998
Hg 0.640 0.640 0.255
Hg 0.359 0.359 0.352
Hg 0.646 0.646 0.665
W 0.918 0.918 0.643
W 0.277 0.277 0.921
CELL_PARAMETERS angstrom
-3.911 -4.201 -0.266
-1.383 -5.577 0.003
-1.620 -1.518 7.450
! Size of the total moment, μB/f.u.: 0.00
! Space-group type: Cm

***

Record 8
! PBE Hg2W, optimized geometry; values from VASP
&SYSTEM
  ibrav = 0, nat = 3, ntyp = 2
/
ATOMIC_SPECIES
Hg 200.59 Hg.upf
W 183.84 W.upf
ATOMIC_POSITIONS crystal
Hg 0.000 0.500 0.500
Hg 0.500 0.000 0.500
W 0.000 0.000 0.000
CELL_PARAMETERS angstrom
5.080 0.000 0.000
0.000 5.080 0.000
0.000 0.000 2.776
! Size of the total moment, μB/f.u.: 0.00
! Space-group type: P4/mmm

***

Record 9
! PBE Hg2W, optimized geometry; values from VASP
&SYSTEM
  ibrav = 0, nat = 6, ntyp = 2
/
ATOMIC_SPECIES
Hg 200.59 Hg.upf
W 183.84 W.upf
ATOMIC_POSITIONS crystal
Hg 0.116 0.884 0.250
Hg 0.440 0.560 0.250
Hg 0.560 0.440 0.750
Hg 0.884 0.116 0.750
W 0.775 0.225 0.250
W 0.225 0.775 0.750
CELL_PARAMETERS angstrom
1.440 -7.947 0.000
1.440 7.947 0.000
0.000 0.000 5.128
! Size of the total moment, μB/f.u.: 0.00
! Space-group type: Cmcm

***

Record 10
! PBE Hg2W, optimized geometry; values from VASP
&SYSTEM
  ibrav = 0, nat = 3, ntyp = 2
/
ATOMIC_SPECIES
Hg 200.59 Hg.upf
W 183.84 W.upf
ATOMIC_POSITIONS crystal
Hg 0.000 0.000 0.013
Hg 0.333 0.667 0.654
W 0.667 0.333 0.333
CELL_PARAMETERS angstrom
3.003 0.000 0.000
-1.502 2.601 0.000
0.000 0.000 7.474
! Size of the total moment, μB/f.u.: 0.00
! Space-group type: P-3m1

***

Record 11
! PBE HgW2, optimized geometry; values from VASP
&SYSTEM
  ibrav = 0, nat = 12, ntyp = 2
/
ATOMIC_SPECIES
Hg 200.59 Hg.upf
W 183.84 W.upf
ATOMIC_POSITIONS crystal
Hg 0.333 0.667 0.065
Hg 0.333 0.667 0.435
Hg 0.667 0.333 0.565
Hg 0.667 0.333 0.935
W 0.000 0.000 0.000
W 0.000 0.000 0.500
W 0.167 0.334 0.750
W 0.167 0.833 0.750
W 0.334 0.167 0.250
W 0.666 0.833 0.750
W 0.833 0.167 0.250
W 0.833 0.666 0.250
CELL_PARAMETERS angstrom
5.391 0.000 0.000
-2.696 4.669 0.000
0.000 0.000 8.849
! Size of the total moment, μB/f.u.: 0.00
! Space-group type: P6_3/mmc

***

Record 12
! PBE HgW3, optimized geometry; values from VASP
&SYSTEM
  ibrav = 0, nat = 8, ntyp = 2
/
ATOMIC_SPECIES
Hg 200.59 Hg.upf
W 183.84 W.upf
ATOMIC_POSITIONS crystal
Hg 0.333 0.667 0.250
Hg 0.667 0.333 0.750
W 0.848 0.152 0.250
W 0.152 0.848 0.750
W 0.848 0.695 0.250
W 0.152 0.305 0.750
W 0.305 0.152 0.250
W 0.695 0.848 0.750
CELL_PARAMETERS angstrom
2.915 -5.049 0.000
2.915 5.049 0.000
0.000 0.000 4.680
! Size of the total moment, μB/f.u.: 0.00
! Space-group type: P6_3/mmc

***

Result set for total energy: -0.1437 -0.3352 -0.2986 -0.1300 -0.1412 -0.3353 -0.1395 -0.1391 -0.1395 -0.1392 -0.2904 -0.3407 Ha/atom, one per record in the order listed.
Result set for energy of formation: 610.0 669.0 609.4 982.1 677.4 665.8 724.3 733.9 722.3 732.1 834.1 518.2 meV/atom, one per record in the order listed.
Result set for distance to the lowest polymorph of the same formula: 224 238 0 596 292 234 339 348 337 346 225 87 meV/atom, one per record in the order listed.